[1]
NdZnPdPt | PBE | optimized geometry

```
NdZnPdPt
1.0
-2.201 -4.218 0.596
0.603 -3.496 -3.226
2.552 -3.896 1.136
Zn Nd Pd Pt
1 1 1 1
Direct
0.750 0.750 0.750
0.250 0.250 0.250
0.000 0.000 0.000
0.500 0.500 0.500
```

Summary:
Density of states at the Fermi level ... 2.40 states/eV/cell
ΔE_f ... -0.684 eV/atom
Total magnetic moment ... 0.0 μB per cell

[2]
TmVFe | PBE | optimized geometry

```
TmVFe
1.0
-3.346 -0.327 1.719
1.217 -2.738 -2.297
1.977 -2.026 3.462
Tm Fe V
1 1 1
Direct
0.000 0.000 0.000
0.333 0.667 0.500
0.667 0.333 0.500
```

Summary:
Density of states at the Fermi level ... 4.41 states/eV/cell
ΔE_f ... 0.147 eV/atom
Total magnetic moment ... 0.7 μB per cell

[3]
Na5La3O12 | PBE | optimized geometry

```
Na5La3O12
1.0
12.387 0.000 0.000
-4.129 11.678 0.000
-4.129 -5.839 10.114
La Na O
12 20 48
Direct
0.750 0.375 0.125
0.875 0.750 0.125
0.375 0.750 0.625
0.250 0.125 0.375
0.875 0.125 0.250
0.375 0.625 0.250
0.625 0.375 0.750
0.125 0.875 0.750
0.750 0.875 0.625
0.625 0.250 0.375
0.125 0.250 0.875
0.250 0.625 0.875
0.125 0.375 0.250
0.000 0.500 0.000
0.000 0.000 0.000
0.375 0.250 0.125
0.500 0.000 0.500
0.500 0.500 0.000
0.125 0.750 0.375
0.750 0.125 0.875
0.750 0.625 0.375
0.375 0.125 0.750
0.625 0.875 0.250
0.500 0.500 0.500
0.500 0.000 0.000
0.000 0.000 0.500
0.250 0.375 0.625
0.250 0.875 0.125
0.000 0.500 0.500
0.875 0.250 0.625
0.625 0.750 0.875
0.875 0.625 0.750
0.782 0.180 0.085
0.303 0.585 0.405
0.915 0.320 0.218
0.585 0.282 0.180
0.602 0.782 0.697
0.915 0.595 0.197
0.303 0.718 0.398
0.095 0.898 0.180
0.595 0.915 0.697
0.782 0.602 0.197
0.718 0.415 0.320
0.803 0.905 0.085
0.180 0.782 0.585
0.320 0.405 0.102
0.102 0.905 0.320
0.398 0.180 0.595
0.102 0.197 0.282
0.415 0.697 0.095
0.803 0.898 0.218
0.180 0.398 0.095
0.320 0.915 0.718
0.595 0.680 0.398
0.905 0.803 0.585
0.718 0.303 0.898
0.405 0.320 0.602
0.095 0.197 0.415
0.282 0.697 0.102
0.197 0.102 0.782
0.680 0.085 0.282
0.820 0.602 0.905
0.585 0.303 0.905
0.602 0.820 0.405
0.898 0.803 0.718
0.898 0.095 0.680
0.820 0.218 0.415
0.197 0.095 0.915
0.680 0.595 0.898
0.405 0.085 0.303
0.218 0.398 0.803
0.282 0.585 0.680
0.905 0.102 0.820
0.697 0.282 0.602
0.415 0.718 0.820
0.085 0.405 0.803
0.398 0.218 0.303
0.085 0.680 0.782
0.697 0.415 0.595
0.218 0.820 0.915
```

Summary:
Density of states at the Fermi level ... 21.88 states/eV/cell
Energy relative to the elements, uncorrected ... -31.10 eV/f.u.
Total magnetic moment ... 0.0 μB per cell

[4]
ZrMo2Pb | PBE | optimized geometry

```
ZrMo2Pb
1.0
-2.194 -2.635 -4.200
-1.003 -4.983 -1.888
-4.425 -1.403 0.857
Mo Pb Zr
2 1 1
Direct
0.991 0.991 0.979
0.509 0.509 0.521
0.750 0.750 0.750
0.250 0.250 0.250
```

Summary:
Density of states at the Fermi level ... 2.81 states/eV/cell
ΔE_f ... 0.313 eV/atom
Total magnetic moment ... 0.0 μB per cell

[5]
Sm5In4Rh | PBE | optimized geometry

```
Sm5In4Rh
1.0
-0.111 -1.615 3.186
3.567 -0.218 0.014
1.102 18.620 9.476
Sm In Rh
5 4 1
Direct
0.500 0.500 0.081
0.500 0.500 0.292
0.500 0.500 0.500
0.500 0.500 0.708
0.500 0.500 0.919
0.000 0.000 0.188
0.000 0.000 0.396
0.000 0.000 0.604
0.000 0.000 0.812
0.000 0.000 0.000
```

Summary:
Density of states at the Fermi level ... 6.45 states/eV/cell
ΔE_f ... -0.541 eV/atom
Total magnetic moment ... 0.0 μB per cell

[6]
Pu2Rh6Pb | PBE | optimized geometry

```
Pu2Rh6Pb
1.0
4.524 0.000 -0.178
0.000 7.616 -0.014
-2.077 -3.817 4.956
Pu Rh Pb
2 6 1
Direct
0.672 0.672 0.344
0.328 0.328 0.656
0.164 0.467 0.327
0.837 0.141 0.675
0.836 0.533 0.673
0.500 0.218 0.000
0.163 0.859 0.325
0.500 0.782 0.000
0.000 0.000 0.000
```

Summary:
Density of states at the Fermi level ... 15.70 states/eV/cell
ΔE_f ... -0.107 eV/atom
Total magnetic moment ... 7.0 μB per cell

[7]
Tm3Be2Pt4 | PBE | optimized geometry

```
Tm3Be2Pt4
1.0
-2.459 -2.163 2.612
2.838 -2.859 3.663
0.229 4.226 7.073
Tm Be Pt
3 2 4
Direct
0.365 0.577 0.693
0.000 0.000 0.000
0.635 0.423 0.307
0.334 0.999 0.333
0.666 0.001 0.667
0.290 0.336 0.083
0.710 0.664 0.917
0.113 0.197 0.577
0.887 0.803 0.423
```

Summary:
Density of states at the Fermi level ... 4.33 states/eV/cell
ΔE_f ... -1.040 eV/atom
Total magnetic moment ... 0.0 μB per cell

[8]
ScZnFe2 | PBE | optimized geometry

```
ScZnFe2
1.0
4.333 0.000 0.000
2.166 3.752 0.000
2.166 1.251 3.538
Fe Sc Zn
2 1 1
Direct
0.000 0.000 0.000
0.250 0.250 0.250
0.500 0.500 0.500
0.750 0.750 0.750
```

Summary:
Density of states at the Fermi level ... 3.30 states/eV/cell
ΔE_f ... -0.019 eV/atom
Total magnetic moment ... 3.8 μB per cell

[9]
KMo2Cl | PBE | optimized geometry

```
KMo2Cl
1.0
5.317 0.000 0.000
0.000 5.317 0.000
0.000 0.000 5.493
Mo K Cl
2 1 1
Direct
0.000 0.000 0.073
0.000 0.000 0.427
0.500 0.500 0.750
0.500 0.500 0.250
```

Summary:
Density of states at the Fermi level ... 0.14 states/eV/cell
Energy relative to the elements, uncorrected ... 5.11 eV/f.u.
Total magnetic moment ... 0.0 μB per cell

[10]
BaAlIn2Cl | PBE | optimized geometry

```
BaAlIn2Cl
1.0
-4.120 1.232 -3.639
-0.449 -5.671 -1.411
-3.817 -0.713 4.081
Al Cl Ba In
1 1 1 2
Direct
0.500 0.500 0.500
0.000 0.000 0.000
0.000 0.500 0.000
0.000 0.000 0.500
0.500 0.000 0.000
```

Summary:
Density of states at the Fermi level ... 3.06 states/eV/cell
Energy relative to the elements, uncorrected ... -0.51 eV/f.u.
Total magnetic moment ... 0.0 μB per cell

[11]
FeCuSe2 | PBE | optimized geometry

```
FeCuSe2
1.0
-3.210 4.054 -1.767
-4.394 -3.171 0.709
-0.508 1.869 5.212
Fe Cu Se
2 2 4
Direct
0.500 0.000 0.000
0.000 0.500 0.000
0.000 0.000 0.000
0.000 0.000 0.500
0.737 0.263 0.256
0.263 0.263 0.744
0.737 0.737 0.744
0.263 0.737 0.256
```

Summary:
Density of states at the Fermi level ... 9.36 states/eV/cell
Energy relative to the elements, uncorrected ... -0.56 eV/f.u.
Total magnetic moment ... 6.9 μB per cell

[12]
SrCuH2 | PBE | optimized geometry

```
SrCuH2
1.0
-3.890 2.259 -0.792
-1.305 -0.735 4.315
-0.256 5.316 3.246
Sr Cu H
2 2 4
Direct
0.000 0.000 0.000
0.750 0.250 0.500
0.500 0.500 0.000
0.250 0.750 0.500
0.425 0.125 0.250
0.325 0.625 0.250
0.375 0.575 0.750
0.875 0.675 0.750
```

Summary:
Density of states at the Fermi level ... 3.88 states/eV/cell
Total magnetic moment ... 0.0 μB per cell
Electronic total energy ... -12.702 eV/f.u.

> Look up the density of states at the Fermi level of the tenth one.

3.06 states/eV/cell

> What is the formula in the ninth record?

KMo2Cl

> Look up the density of states at the Fermi level of the twelfth one.

3.88 states/eV/cell

> What is the formula in the tenth record?

BaAlIn2Cl